Entry 1:
Below is a relaxed PuBe2H6 crystal, with properties calculated at the PBE level.

```
9
Lattice="-2.383 -2.104 -0.214 1.396 -4.017 0.230 -1.440 -1.337 5.465" Properties=species:S:1:pos:R:3 pbc="T T T"
H -3.239 -4.037 4.608
H -0.569 -1.856 0.870
H -0.267 -4.854 3.271
Be -2.017 -2.608 0.664
H -1.857 -5.602 4.612
Pu -0.022 -2.677 2.848
H 0.813 -3.421 0.873
H -2.159 -2.604 2.210
Be -0.409 -4.850 4.817
```

Uncorrected energy (eV/atom): -4.736
Distance to the lowest polymorph of the same formula (eV per atom): 0.035

---

Entry 2:
Below is a relaxed PuBeH6 crystal, with properties calculated at the PBE level.

```
8
Lattice="-3.465 -1.742 -0.209 2.116 -3.064 1.103 -0.424 1.673 3.488" Properties=species:S:1:pos:R:3 pbc="T T T"
Be 0.000 0.000 0.000
H 0.848 -2.917 2.013
H 1.001 -1.074 3.220
H -0.970 -3.289 0.816
H -2.772 -2.059 1.162
Pu -0.886 -1.567 2.191
H -2.620 -0.217 2.368
H -0.801 0.155 3.566
```

Uncorrected energy (eV/atom): -4.893

---

Entry 3:
Below is a relaxed PuBe2H7 crystal, with properties calculated at the PBE level.

```
10
Lattice="3.259 0.000 0.000 0.000 5.398 1.721 0.000 -0.837 5.604" Properties=species:S:1:pos:R:3 pbc="T T T"
H 1.629 2.281 3.662
H 1.629 4.950 3.286
H 1.629 0.765 5.892
Be 1.629 1.066 4.419
H 1.629 -0.389 4.038
H 1.629 3.796 1.432
H 0.000 3.564 2.863
Be 1.629 3.495 2.906
Pu 0.000 0.000 0.000
H 0.000 0.997 4.461
```

Uncorrected energy (eV/atom): -4.598

---

Entry 4:
Below is a relaxed PuBe4H12 crystal, with properties calculated at the PBE level.

```
17
Lattice="5.469 0.000 0.000 -1.823 5.156 0.000 -1.823 -2.578 4.466" Properties=species:S:1:pos:R:3 pbc="T T T"
H 1.921 4.321 0.926
Be -0.912 -1.289 2.233
H -1.611 3.402 1.186
H 0.212 1.905 0.926
Be 0.912 1.289 2.233
Be -0.912 2.578 0.000
H 3.434 -0.824 3.279
H 0.098 2.194 3.279
Pu 0.000 0.000 0.000
H -1.921 1.358 4.206
H 1.611 0.674 3.539
H -0.098 -1.743 3.539
H 3.744 1.220 0.260
H -0.212 0.150 2.113
H 1.725 0.385 1.186
Be 2.735 0.000 0.000
H 2.035 2.428 2.353
```

Uncorrected energy (eV/atom): -4.180

---

Entry 5:
Below is a relaxed Pu2BeH8 crystal, with properties calculated at the PBE level.

```
11
Lattice="3.784 0.000 0.000 0.000 4.574 -0.142 -1.892 -2.127 5.215" Properties=species:S:1:pos:R:3 pbc="T T T"
H 0.000 1.339 3.854
Be 1.892 0.000 0.000
H 0.000 -1.097 3.929
H 1.892 1.108 1.219
Pu 1.892 0.105 3.373
H 1.892 1.380 5.106
H 1.892 2.381 2.936
H 0.000 1.068 -0.033
H 0.000 0.067 2.137
H 1.892 3.544 1.144
Pu 0.000 2.342 1.700
```

Uncorrected energy (eV/atom): -5.563

---

Entry 6:
Below is a relaxed Pu2BeH6 crystal, with properties calculated at the PBE level.

```
18
Lattice="4.308 0.000 -0.279 0.000 6.377 0.000 -0.943 0.000 6.309" Properties=species:S:1:pos:R:3 pbc="T T T"
Be -0.472 0.000 3.154
Pu 0.202 3.877 1.869
H 0.109 1.542 2.750
H 0.790 2.551 0.115
H -0.274 0.308 4.852
Be 2.154 3.189 -0.139
H 3.639 6.069 1.178
H 2.351 2.880 1.558
H 3.255 4.836 3.280
H 2.574 3.827 5.914
H 2.473 0.638 3.130
H 1.013 3.497 4.472
Pu 1.480 0.688 1.146
H 1.573 4.730 0.265
H 1.791 1.647 5.765
Pu 1.884 5.689 4.884
H 0.892 5.739 2.900
Pu 3.163 2.500 4.161
```

Uncorrected energy (eV/atom): -6.090

---

Entry 7:
Below is a relaxed PuBe2H6 crystal, with properties calculated at the PBE level.

```
9
Lattice="3.970 0.000 2.292 1.323 3.743 2.292 0.000 0.000 4.584" Properties=species:S:1:pos:R:3 pbc="T T T"
Be 1.323 0.936 2.292
Pu 0.000 0.000 0.000
H 2.140 2.587 5.461
H 3.153 1.155 5.461
H 1.634 1.155 4.584
H 2.140 2.587 3.707
H 3.659 2.587 4.584
Be 3.970 2.807 6.876
H 3.153 1.155 3.707
```

Uncorrected energy (eV/atom): -3.783
Distance to the lowest polymorph of the same formula (eV per atom): 0.988

---

Entry 8:
Below is a relaxed Pu3BeH6 crystal, with properties calculated at the PBE level.

```
20
Lattice="-1.271 0.376 -6.061 5.914 -1.770 -0.622 -2.353 -5.675 0.869" Properties=species:S:1:pos:R:3 pbc="T T T"
Pu 0.065 -3.833 -0.288
Be 0.000 0.000 0.000
Pu -0.775 -1.502 -3.453
H 3.059 -1.186 -6.126
H 5.193 -1.931 -2.144
H -0.506 -3.528 -2.447
Be 1.145 -3.534 -2.907
H -2.903 -5.137 -3.670
H -1.490 -1.241 -5.615
H 0.865 -5.090 -2.244
Pu 2.942 -1.554 -1.926
H 2.796 -3.540 -3.367
H 3.780 -5.828 -0.199
Pu 3.065 -5.566 -2.361
Pu 2.225 -3.235 -5.525
H 1.425 -1.978 -3.570
H 2.015 -3.548 -1.430
H -0.769 -5.882 0.312
Pu -0.652 -5.514 -3.888
H 0.275 -3.521 -4.384
```

Uncorrected energy (eV/atom): -6.804

---

Entry 9:
Below is a relaxed PuBeH3 crystal, with properties calculated at the PBE level.

```
10
Lattice="3.108 0.000 0.310 0.000 3.440 0.000 0.731 -0.001 8.450" Properties=species:S:1:pos:R:3 pbc="T T T"
Pu 0.852 0.460 2.597
H 2.231 0.463 4.523
Pu 3.455 2.180 8.037
H 1.084 0.463 0.293
H 2.492 2.183 1.891
H 3.601 0.460 6.577
Be 2.084 0.455 6.064
H 2.076 2.183 6.111
Be 2.223 2.175 4.570
H 0.706 2.181 4.057
```

Uncorrected energy (eV/atom): -5.734

---

Entry 10:
Below is a relaxed PuBe2H6 crystal, with properties calculated at the PBE level.

```
9
Lattice="-2.778 -2.317 2.187 -1.421 -1.570 -3.469 3.061 -1.826 1.953" Properties=species:S:1:pos:R:3 pbc="T T T"
H -0.580 -2.673 2.638
H -2.821 -2.546 -0.074
Be -1.316 -2.814 -0.568
H -1.291 -3.458 0.904
Pu 0.000 0.000 0.000
H 0.863 -1.470 1.502
Be 0.178 -2.899 1.239
H 0.152 -2.255 -0.232
H -1.378 -1.342 -1.209
```

Uncorrected energy (eV/atom): -4.771
Distance to the lowest polymorph of the same formula (eV per atom): 0.000

---

Entry 11:
Below is a relaxed PuBe2H8Rh crystal, with properties calculated at the PBE level.

```
12
Lattice="-0.517 3.589 2.102 -2.532 2.973 -1.521 -5.572 -0.189 3.130" Properties=species:S:1:pos:R:3 pbc="T T T"
H -3.067 1.117 1.516
H -2.044 3.060 1.438
Rh 0.000 0.000 0.000
Pu -4.310 3.186 1.855
Be -1.917 1.717 0.774
H -6.577 3.312 2.273
H -5.553 5.255 2.195
H -3.049 5.090 1.521
Be -6.703 4.655 2.936
H -3.448 3.699 -0.223
H -5.572 1.283 2.190
H -5.173 2.673 3.934
```

Uncorrected energy (eV/atom): -4.792

---

Entry 12:
Below is a relaxed PuBeSiH crystal, with properties calculated at the PBE level.

```
4
Lattice="3.908 0.000 0.000 -1.954 3.385 0.005 0.000 -0.007 4.000" Properties=species:S:1:pos:R:3 pbc="T T T"
Be 0.000 1.610 3.423
Pu 1.954 0.485 1.306
H 0.000 1.614 1.000
Si 1.954 2.738 3.238
```

Uncorrected energy (eV/atom): -7.158

---

Entry 13:
Below is a relaxed RbBe2H6 crystal, with properties calculated at the PBE level.

```
9
Lattice="3.466 0.000 0.000 1.733 4.729 0.504 1.733 2.688 6.376" Properties=species:S:1:pos:R:3 pbc="T T T"
H 5.200 5.802 6.365
Be 3.466 1.924 0.817
H 3.466 0.470 0.079
H 3.466 6.947 6.800
H 3.466 1.922 2.206
Be 3.466 5.492 6.063
Rb 1.733 3.708 3.440
H 3.466 5.494 4.674
H 1.733 1.614 0.515
```

Uncorrected energy (eV/atom): -3.111
Distance to the lowest polymorph of the same formula (eV per atom): 0.000

---

Entry 14:
Below is a relaxed RbBe2H crystal, with properties calculated at the PBE level.

```
8
Lattice="-1.659 3.415 0.402 -2.255 -0.691 -3.432 -6.821 -4.333 6.833" Properties=species:S:1:pos:R:3 pbc="T T T"
Rb -7.975 -1.163 2.351
Be -7.343 -3.462 6.347
Be -3.392 1.854 -2.544
Be -2.395 2.135 -0.820
Rb -2.760 -0.445 1.452
H -6.934 -3.095 4.915
Be -8.340 -3.743 4.623
H -3.801 1.486 -1.112
```

Uncorrected energy (eV/atom): -2.809
Distance to the lowest polymorph of the same formula (eV per atom): 0.017

---

Entry 15:
Below is a relaxed Rb3Be2H7 crystal, with properties calculated at the PBE level.

```
12
Lattice="3.788 0.000 0.000 0.000 3.841 0.000 0.000 -1.920 10.962" Properties=species:S:1:pos:R:3 pbc="T T T"
Rb 1.894 1.920 3.759
Rb 1.894 1.920 0.000
Rb 1.894 0.000 7.203
H 0.000 1.920 7.539
H 0.000 0.000 0.000
H 1.894 0.000 1.876
H 0.000 0.000 9.081
Be 0.000 1.920 9.078
Be 0.000 0.000 1.884
H 1.894 1.920 9.086
H 0.000 0.000 3.423
H 0.000 1.920 1.882
```

Uncorrected energy (eV/atom): -2.796

---

Entry 16:
Below is a relaxed Rb2BeH5 crystal, with properties calculated at the PBE level.

```
8
Lattice="5.878 0.000 0.000 0.000 5.878 0.000 -2.939 -2.939 4.013" Properties=species:S:1:pos:R:3 pbc="T T T"
H 1.016 1.016 0.101
Rb 0.000 2.939 1.998
Rb 2.939 0.000 1.998
H 4.862 4.862 0.101
Be 2.939 2.939 3.652
H 4.859 1.018 0.093
H 2.939 2.939 2.212
H 1.018 4.859 0.093
```

Uncorrected energy (eV/atom): -2.826

---

Entry 17:
Below is a relaxed RbBe2H crystal, with properties calculated at the PBE level.

```
8
Lattice="-1.943 -3.203 -0.301 0.728 -0.825 4.092 -8.126 6.540 2.683" Properties=species:S:1:pos:R:3 pbc="T T T"
Be -3.584 -1.906 2.243
Be -2.650 -0.125 1.381
Rb -9.291 3.278 3.169
H -3.016 1.516 1.778
Be -3.207 -2.333 4.367
Rb -4.813 0.740 4.135
Be -1.849 -0.833 3.289
H -0.705 -1.697 2.913
```

Uncorrected energy (eV/atom): -2.799
Distance to the lowest polymorph of the same formula (eV per atom): 0.026

---

Entry 18:
Below is a relaxed RbBe2H crystal, with properties calculated at the PBE level.

```
16
Lattice="9.681 0.000 0.033 0.000 4.285 0.000 -0.252 0.000 7.428" Properties=species:S:1:pos:R:3 pbc="T T T"
Be 9.317 2.142 2.928
H 8.393 2.142 1.663
Rb 6.179 2.142 6.521
Be -0.212 2.142 6.614
Be 9.224 1.075 4.775
H 8.267 0.000 5.377
Rb 2.770 0.000 5.165
H 4.632 0.000 0.272
Be -0.086 0.000 2.900
Be 9.351 3.217 1.061
Be 9.224 3.210 4.775
Rb 2.896 2.142 1.451
Rb 6.305 0.000 2.807
Be 9.191 0.000 6.643
H 4.506 2.142 3.986
Be 9.351 1.068 1.061
```

Uncorrected energy (eV/atom): -2.819
Distance to the lowest polymorph of the same formula (eV per atom): 0.007

---

Entry 19:
Below is a relaxed Rb3BeH4 crystal, with properties calculated at the PBE level.

```
8
Lattice="-3.137 5.229 2.444 -2.639 -5.345 -2.759 2.660 -2.712 5.359" Properties=species:S:1:pos:R:3 pbc="T T T"
H -1.117 -4.415 0.110
H -0.013 -5.076 2.114
Rb -0.052 0.274 0.851
Rb -0.296 -0.150 5.484
Be -3.106 1.095 3.417
Rb -2.945 -2.020 1.603
H -0.019 -2.703 1.348
H -1.862 0.861 2.684
```

Uncorrected energy (eV/atom): -2.603

---

Entry 20:
Below is a relaxed RbBeH crystal, with properties calculated at the PBE level.

```
12
Lattice="4.180 0.000 -0.003 0.000 5.829 0.000 -0.790 0.000 10.844" Properties=species:S:1:pos:R:3 pbc="T T T"
H 3.611 1.854 5.250
H 3.611 3.975 5.250
Be 0.045 0.000 10.336
Rb 1.625 0.000 6.664
H 3.216 4.768 10.672
H 3.216 1.061 10.672
Be 0.440 2.914 4.914
Rb 2.020 2.914 1.242
Rb -0.396 2.914 8.464
Rb -0.001 0.000 3.042
Be 2.203 0.000 10.321
Be 2.598 2.914 4.899
```

Uncorrected energy (eV/atom): -2.545
Distance to the lowest polymorph of the same formula (eV per atom): 0.003